No. 1
Material: Ac2HoTe3
Method: DFT, PBE
State: optimized geometry

Cell: 8.0183 8.0183 14.3294 Å, 101.02 101.02 108.48°
Atoms (fractional coordinates):
Ac 0.9969 0.4969 0.9937
Ac 0.4210 0.4210 0.8420
Ac 0.8290 0.3290 0.6580
Ac 0.2531 0.2531 0.5063
Ac 0.7469 0.7469 0.4937
Ac 0.6710 0.1710 0.3420
Ac 0.5790 0.5790 0.1580
Ac 0.5031 0.0031 0.0063
Ho 0.9176 0.9176 0.8352
Ho 0.3324 0.8324 0.6648
Ho 0.1676 0.6676 0.3352
Ho 0.0824 0.0824 0.1648
Te 0.1638 0.6838 0.8245
Te 0.6607 0.1407 0.8245
Te 0.0862 0.0662 0.6755
Te 0.5893 0.6093 0.6755
Te 0.0247 0.5247 0.5000
Te 0.4753 0.9753 0.5000
Te 0.3907 0.4107 0.3245
Te 0.9338 0.9138 0.3245
Te 0.8593 0.3393 0.1755
Te 0.3162 0.8362 0.1755
Te 0.2253 0.2253 0.0000
Te 0.7747 0.7747 0.0000

Calculated values
raw total energy: -5.1002 eV/atom
space-group type: Fddd, No. 70



No. 2
Material: PuTlCdF6
Method: DFT, PBE
State: optimized geometry

Cell: 6.3340 6.3340 10.6997 Å, 90.00 90.00 120.00°
Atoms (fractional coordinates):
Pu 0.6667 0.3333 0.2500
Pu 0.3333 0.6667 0.7500
Tl 0.0000 0.0000 0.0000
Tl 0.0000 0.0000 0.5000
Cd 0.3333 0.6667 0.2500
Cd 0.6667 0.3333 0.7500
F 0.6241 0.6261 0.1436
F 0.0020 0.3759 0.1436
F 0.3759 0.0020 0.6436
F 0.9980 0.6241 0.8564
F 0.3739 0.3759 0.3564
F 0.0020 0.6261 0.3564
F 0.6261 0.0020 0.8564
F 0.6241 0.9980 0.3564
F 0.9980 0.3739 0.6436
F 0.3739 0.9980 0.1436
F 0.6261 0.6241 0.6436
F 0.3759 0.3739 0.8564

Calculated values
raw total energy: -5.8941 eV/atom
space-group type: P-31c, No. 163



No. 3
Material: SiSbTe2
Method: DFT, PBE
State: optimized geometry

Cell: 3.1207 3.1207 11.3675 Å, 90.00 90.00 105.27°
Atoms (fractional coordinates):
Sb 0.0000 0.0000 0.5467
Si 0.5000 0.5000 0.7356
Te 0.0000 0.0000 0.9538
Te 0.5000 0.5000 0.2639

Calculated values
raw total energy: -3.5777 eV/atom
space-group type: Cmm2, No. 35
distance to the lowest polymorph of the same formula: 24.7 kJ/mol of atoms